# 1
Tl2GaC2O6: optimized geometry, PBE.

## Properties
- Formation energy (no corrections): -110.34 kJ per mole of atoms

Cell: 5.147 6.372 6.805 Å, 114.68 90.00 113.82°
Fractional positions:
1 Tl 0.689 0.379 0.206
2 Tl 0.311 0.621 0.794
3 Ga 0.500 0.000 0.500
4 C 0.002 0.005 0.719
5 C 0.998 0.995 0.281
6 O 0.882 0.764 0.662
7 O 0.150 0.863 0.250
8 O 0.287 0.137 0.750
9 O 0.850 0.137 0.750
10 O 0.713 0.863 0.250
11 O 0.118 0.236 0.338



# 2
Ce3TlPb2: optimized geometry, PBE.

## Properties
- E above lowest polymorph: 0.000 eV per atom
- Energy relative to the elements: -348 meV/atom

Cell: 5.045 7.985 9.196 Å, 90.00 90.00 71.58°
Each line ends with the local moment (μB).
Fractional positions:
1 Ce 0.833 0.334 0.751  0.97
2 Ce 0.500 0.000 0.248  0.99
3 Ce 0.167 0.666 0.249  0.97
4 Ce 0.833 0.334 0.249  0.97
5 Ce 0.167 0.666 0.751  0.97
6 Ce 0.500 0.000 0.752  0.99
7 Tl 0.331 0.338 0.000  -0.01
8 Tl 0.669 0.662 0.000  -0.01
9 Pb 0.000 0.000 0.000  -0.02
10 Pb 0.000 0.000 0.500  -0.02
11 Pb 0.334 0.333 0.500  -0.02
12 Pb 0.666 0.667 0.500  -0.02



# 3
Si2MoP: optimized geometry, PBE.

## Properties
- Formation energy (no corrections): 8.29 kJ per mole of atoms

Cell: 4.693 4.693 4.129 Å, 86.73 86.73 38.61°
Fractional positions:
1 Mo 0.750 0.750 0.750
2 P 0.250 0.250 0.250
3 Si 0.017 0.017 0.991
4 Si 0.483 0.483 0.509



# 4
Ru2PbSe: optimized geometry, PBE.

## Properties
- E above lowest polymorph: 0.241 eV per atom
- Formation energy (no corrections): 45.54 kJ per mole of atoms

Cell: 4.602 4.602 3.245 Å, 90.00 90.00 90.07°
Fractional positions:
1 Pb 0.000 0.500 0.500
2 Ru 0.000 0.000 0.000
3 Ru 0.500 0.500 0.000
4 Se 0.500 0.000 0.500



# 5
PIr2Pb: optimized geometry, PBE.

## Properties
- E above lowest polymorph: 0.837 eV per atom
- Energy relative to the elements: 781 meV/atom

Cell: 4.614 4.614 4.614 Å, 60.00 60.00 60.00°
Fractional positions:
1 Ir 0.000 0.000 0.000
2 Ir 0.250 0.250 0.250
3 P 0.500 0.500 0.500
4 Pb 0.750 0.750 0.750



# 6
PmEr2NpN4: optimized geometry, PBE.

## Properties
- Formation energy (no corrections): -145.20 kJ per mole of atoms

Cell: 3.473 6.015 6.000 Å, 109.00 90.00 90.00°
Each line ends with the local moment (μB).
Fractional positions:
1 Pm 0.500 0.500 0.000  0.06
2 Er 0.500 0.000 0.500  0.04
3 Er 0.000 0.500 0.500  0.09
4 Np 0.000 0.000 0.000  3.02
5 N 0.500 0.241 0.251  -0.09
6 N 0.500 0.759 0.749  -0.09
7 N 0.000 0.230 0.751  -0.06
8 N 0.000 0.770 0.249  -0.06



How do the records compare in size of the total moment? In the order shown, they have 0.00; 7.71; 0.00; 0.00; 0.00; 3.10 Bohr magnetons per cell.
How do the records compare in E? In the order shown, they have -68.54; -59.35; -26.74; -23.86; -23.72; -72.16 eV/cell.